## Sr12Br3N5 (PBE)

Data for a relaxed Sr12Br3N5 crystal.

Cell and atoms, written as extended XYZ:
```
80
Lattice="-4.122 12.451 -7.001 -4.300 -11.808 -7.944 -6.367 -0.475 13.426" Properties=species:S:1:pos:R:3 pbc="T T T"
Sr -5.658 -1.996 -7.476
Br -5.499 4.851 -6.552
Sr -8.128 7.175 -2.035
Sr -11.017 -7.293 0.245
Sr -10.993 0.030 3.260
Sr -7.726 7.650 -5.896
Sr -5.981 -2.247 -0.937
Br -8.750 -4.484 -0.192
Br -5.825 -2.830 -4.234
N -3.416 1.658 -2.933
Br -7.627 1.979 -10.406
Br -5.736 9.299 -3.763
Sr -11.135 -4.513 -2.937
N -6.622 -1.612 3.662
N -2.061 6.225 -3.501
Sr -7.811 0.116 -3.459
Br -10.833 -1.291 -3.811
Sr -3.653 4.680 1.417
Sr -9.130 2.163 5.957
N -8.661 7.645 0.279
N -6.127 -7.478 -1.798
Sr -7.336 5.996 1.456
Sr -8.151 9.920 0.932
Sr -6.077 3.624 4.300
Sr -2.343 -1.294 0.545
Br -8.963 2.997 2.715
Sr -3.795 0.138 -4.779
Br -7.161 -1.811 8.887
Sr -9.280 -0.877 -8.878
Sr -8.807 2.415 -0.583
Sr -8.267 -1.516 5.435
Sr -11.162 -3.819 2.038
N -7.930 -2.669 -7.970
N -3.183 -0.238 6.713
Sr -7.062 -7.482 4.377
Sr -10.547 5.912 4.204
N -7.394 0.084 -0.760
N -5.333 -6.141 2.741
Sr -4.378 -1.102 4.413
Sr -7.452 -5.828 -2.975
Sr -6.865 -3.883 2.859
N -3.719 -2.990 -0.498
Sr -3.771 7.460 -1.764
N -2.150 -5.904 -3.972
Br -9.052 -9.132 2.243
Sr -6.660 -7.007 0.516
N -11.372 -1.490 1.414
Sr -9.725 -1.281 -0.347
Sr -5.508 1.044 7.359
Br -9.289 -4.683 5.032
Sr -11.414 -7.113 4.132
Sr -8.711 -3.456 -5.819
Sr -10.410 1.269 -5.933
N 0.000 0.000 0.000
Sr -2.949 -3.620 -2.704
N -8.166 1.780 -5.181
Sr -7.883 5.127 -9.284
N -11.069 3.158 -1.022
Sr -9.676 9.772 5.030
Sr -6.637 -9.752 -2.451
Sr -11.839 3.787 1.185
Sr -6.905 -4.960 7.765
Sr -6.977 0.051 1.940
Sr -6.521 1.684 -6.954
Sr -3.626 3.987 -3.557
Sr -7.548 0.582 11.201
Sr -5.112 -9.604 -6.549
Br -6.038 4.651 -1.327
Sr -5.063 1.448 -1.172
Br -3.955 1.458 2.291
Sr -7.923 4.050 -4.378
Sr -12.445 1.461 -2.065
N -9.200 7.446 5.504
N -4.211 0.321 -7.473
N -5.588 -7.279 -7.023
N -5.244 5.988 3.212
Sr -3.374 7.281 -5.651
Sr -7.240 -0.415 -12.720
N -6.858 2.837 6.451
Sr -4.241 -5.745 -5.723
```

Summary:
The calculation puts the formation energy (no corrections) at -0.6649 eV/atom. The value obtained for the volume is 31.6 A^3/atom.



## SrBr3N (PBE)

Data for a relaxed SrBr3N crystal.

Cell and atoms, written as extended XYZ:
```
5
Lattice="6.066 0.000 0.000 0.000 6.066 0.000 0.000 0.000 6.066" Properties=species:S:1:pos:R:3 pbc="T T T"
Sr 0.000 0.000 0.000
Br 3.033 0.000 0.000
Br 0.000 3.033 0.000
N 3.033 3.033 3.033
Br 0.000 0.000 3.033
```

Summary:
The calculation puts the formation energy (no corrections) at 0.0077 eV/atom. The value obtained for the volume is 44.6 A^3/atom.



## Sr4Br5N (PBE)

Data for a relaxed Sr4Br5N crystal.

Cell and atoms, written as extended XYZ:
```
10
Lattice="-2.322 -0.258 -3.574 -1.618 -8.161 1.639 -5.820 4.827 5.985" Properties=species:S:1:pos:R:3 pbc="T T T"
Br -3.738 -5.290 2.810
N -1.161 -0.129 -1.787
Br -6.022 1.698 1.240
Sr -8.485 2.797 2.761
Br -6.896 -2.341 2.099
Sr -6.415 -4.124 4.466
Br -2.864 -1.250 1.951
Br -1.970 -4.209 -0.967
Sr -1.276 -6.388 1.289
Sr -3.345 0.533 -0.416
```

Summary:
The calculation puts the formation energy (no corrections) at -1.7361 eV/atom. The value obtained for the volume is 32.9 A^3/atom.



## SrBrN2 (PBE)

Data for a relaxed SrBrN2 crystal.

Cell and atoms, written as extended XYZ:
```
4
Lattice="0.000 3.177 3.177 3.177 0.000 3.177 3.177 3.177 0.000" Properties=species:S:1:pos:R:3 pbc="T T T"
Sr 3.177 3.177 3.177
Br 0.000 0.000 0.000
N 4.766 4.766 4.766
N 1.589 1.589 1.589
```

Summary:
The calculation puts the formation energy (no corrections) at 1.3051 eV/atom. The value obtained for the volume is 16.0 A^3/atom.



## Sr2BrN (PBE)

Data for a relaxed Sr2BrN crystal.

Cell and atoms, written as extended XYZ:
```
4
Lattice="0.000 3.565 3.565 3.565 0.000 3.565 3.565 3.565 0.000" Properties=species:S:1:pos:R:3 pbc="T T T"
N 0.000 0.000 0.000
Br 3.565 3.565 3.565
Sr 5.347 5.347 5.347
Sr 1.782 1.782 1.782
```

Summary:
The calculation puts the formation energy (no corrections) at -0.6283 eV/atom. The value obtained for the volume is 22.7 A^3/atom.



## Sr4BrN2 (PBE)

Data for a relaxed Sr4BrN2 crystal.

Cell and atoms, written as extended XYZ:
```
7
Lattice="-0.558 -1.515 3.563 2.090 -3.097 1.157 10.623 7.280 6.906" Properties=species:S:1:pos:R:3 pbc="T T T"
Br 0.000 0.000 0.000
Sr 9.981 2.754 9.175
Sr 7.058 4.172 5.026
Sr 2.175 -0.087 2.451
Sr 5.097 -1.504 6.600
N 3.631 -0.800 4.523
N 8.525 3.467 7.103
```

Summary:
The calculation puts the formation energy (no corrections) at -0.9699 eV/atom. The value obtained for the volume is 27.3 A^3/atom.



## Sr4Br5N2 (PBE)

Data for a relaxed Sr4Br5N2 crystal.

Cell and atoms, written as extended XYZ:
```
11
Lattice="-1.583 -0.698 3.904 5.547 -5.817 1.209 3.802 9.492 0.903" Properties=species:S:1:pos:R:3 pbc="T T T"
Sr 1.618 -1.697 0.353
Br 3.201 0.725 1.428
Br -0.792 -0.349 1.952
Br 6.184 -2.404 2.078
Sr 3.928 -4.120 0.857
N 5.363 5.781 3.208
N 2.403 -2.804 2.809
Br 4.565 2.252 4.589
Sr 3.963 -1.122 3.742
Sr 3.803 4.099 2.275
Br 1.581 5.381 3.939
```

Summary:
The calculation puts the formation energy (no corrections) at -1.6052 eV/atom. The value obtained for the volume is 29.0 A^3/atom.



## SrBr3N (PBE)

Data for a relaxed SrBr3N crystal.

Cell and atoms, written as extended XYZ:
```
5
Lattice="-2.597 -3.906 1.415 4.146 -2.546 0.581 0.272 1.505 4.655" Properties=species:S:1:pos:R:3 pbc="T T T"
Br 0.136 0.753 2.327
Br 2.073 -1.273 0.291
Br -1.299 -1.953 0.707
Sr 0.910 -2.474 3.325
N 0.000 0.000 0.000
```

Summary:
The calculation puts the formation energy (no corrections) at -0.2216 eV/atom. The value obtained for the volume is 23.5 A^3/atom.



## Sr2BrN (PBE)

Data for a relaxed Sr2BrN crystal.

Cell and atoms, written as extended XYZ:
```
4
Lattice="-3.261 2.059 -0.758 -3.178 -0.446 2.270 0.284 6.038 4.988" Properties=species:S:1:pos:R:3 pbc="T T T"
Sr -0.156 5.042 4.176
N -4.012 7.106 5.990
Br -3.069 3.845 3.266
Sr -1.712 1.521 1.306
```

Summary:
The calculation puts the formation energy (no corrections) at -1.2685 eV/atom. The value obtained for the volume is 25.1 A^3/atom.



## Sr3Br2N (PBE)

Data for a relaxed Sr3Br2N crystal.

Cell and atoms, written as extended XYZ:
```
12
Lattice="6.435 0.000 0.000 0.000 7.803 0.010 -3.218 -1.945 7.077" Properties=species:S:1:pos:R:3 pbc="T T T"
Sr 0.005 3.901 1.682
Br -0.012 1.947 4.314
N 0.458 1.951 0.002
N 5.977 5.852 0.007
Br 3.205 0.010 2.767
Sr 3.222 5.859 5.409
Br 0.012 5.849 4.319
Br 3.230 3.911 2.772
Sr 2.889 1.951 0.002
Sr -0.005 0.000 1.677
Sr 3.213 1.957 5.404
Sr 3.546 5.852 0.007
```

Summary:
The calculation puts the formation energy (no corrections) at -1.2781 eV/atom. The value obtained for the volume is 29.6 A^3/atom.



## Sr4Br5N2 (PBE)

Data for a relaxed Sr4Br5N2 crystal.

Cell and atoms, written as extended XYZ:
```
11
Lattice="-0.988 -3.317 2.429 5.490 -4.629 -4.089 5.320 5.741 6.325" Properties=species:S:1:pos:R:3 pbc="T T T"
Sr 5.300 0.990 3.508
Br 3.444 0.543 5.824
N 7.096 1.592 5.061
Br 6.270 -1.940 3.582
Br 3.551 -0.266 1.082
Sr 8.219 -0.858 5.852
Sr 1.603 -1.347 -1.188
Br 6.378 -2.749 -1.160
Sr 4.522 -3.196 1.156
Br -0.494 -1.659 1.214
N 2.726 -3.798 -0.397
```

Summary:
The calculation puts the formation energy (no corrections) at -1.6090 eV/atom. The value obtained for the volume is 29.9 A^3/atom.



## Sr2BrN2 (PBE)

Data for a relaxed Sr2BrN2 crystal.

Cell and atoms, written as extended XYZ:
```
10
Lattice="-1.348 -3.432 2.027 5.162 -3.674 -2.788 3.904 4.235 5.401" Properties=species:S:1:pos:R:3 pbc="T T T"
Br 0.977 -1.717 -0.225
Sr 3.760 -0.216 3.880
N 3.368 -2.536 3.486
Br 2.837 -5.389 -0.535
N 6.311 -3.451 1.548
N 1.407 0.581 3.092
Sr 3.958 -2.655 0.760
Sr 0.838 -2.189 2.963
N 4.350 -0.335 1.154
Sr 6.880 -0.682 1.676
```

Summary:
The calculation puts the formation energy (no corrections) at -1.0688 eV/atom. The value obtained for the volume is 21.7 A^3/atom.



> Look up the formation energy (no corrections) of the ninth one.

-1.2685 eV/atom



> Number 1 is which compound?

Sr12Br3N5



> Which value of formation energy (no corrections) does entry 10 give?

-1.2781 eV/atom